VASP calculation (PBE) on CaTc3Hg after structural relaxation.

Computed properties:
Distance to the lowest polymorph of the same formula: 440.8 meV per atom
Symmetry: Pm-3m (221)
Calculated formation energy: 2.443 eV per atom

Unit cell a=4.6678 b=4.6678 c=4.6678 alpha=90.00 beta=90.00 gamma=90.00
Last column: nearest neighbours and their distance in Å.
Sites, in units of the cell vectors:
Ca1 0.0000 0.0000 0.0000  6 Tc 2.33
Tc1 0.0000 0.0000 0.5000  2 Ca 2.33
Tc2 0.0000 0.5000 0.0000  2 Ca 2.33
Tc3 0.5000 0.0000 0.0000  2 Ca 2.33
Hg1 0.5000 0.5000 0.5000  12 Tc 3.30

---

VASP calculation (PBE) on CsBAu3 after structural relaxation.

Computed properties:
Distance to the lowest polymorph of the same formula: 1876.2 meV per atom
Symmetry: Pm-3m (221)
Calculated formation energy: 2.148 eV per atom

Unit cell a=6.2814 b=6.2814 c=6.2814 alpha=90.00 beta=90.00 gamma=90.00
Last column: nearest neighbours and their distance in Å.
Sites, in units of the cell vectors:
Cs1 0.0000 0.0000 0.0000  6 Au 3.14
B1 0.5000 0.5000 0.5000  12 Au 4.44
Au1 0.0000 0.0000 0.5000  2 Cs 3.14
Au2 0.0000 0.5000 0.0000  2 Cs 3.14
Au3 0.5000 0.0000 0.0000  2 Cs 3.14

---

VASP calculation (PBE) on TlAsRu after structural relaxation.

Computed properties:
Distance to the lowest polymorph of the same formula: 232.5 meV per atom
Symmetry: I4mm (107)
Calculated formation energy: 0.063 eV per atom

Unit cell a=6.7036 b=6.7036 c=6.7036 alpha=153.34 beta=153.34 gamma=38.06
Last column: nearest neighbours and their distance in Å.
Sites, in units of the cell vectors:
Tl1 0.0000 0.0000 0.0000  4 Tl 3.09, 4 Ru 3.09, 1 As 3.46
As1 0.2726 0.2726 0.0000  4 Ru 2.53
Ru1 0.6728 0.6728 0.0000  4 As 2.53

---

VASP calculation (PBE) on Pm6P5 after structural relaxation.

Computed properties:
Symmetry: C2/m (12)
Calculated formation energy: -1.434 eV per atom

Unit cell a=7.1232 b=7.1232 c=7.1314 alpha=99.61 beta=99.61 gamma=119.93
Last column: nearest neighbours and their distance in Å.
Sites, in units of the cell vectors:
Pm1 0.0672 0.4145 0.7444  5 P 2.82-2.93
Pm2 0.2391 0.2391 0.2593  5 P 2.79-2.91
Pm3 0.4145 0.0672 0.7444  5 P 2.82-2.93
Pm4 0.5855 0.9328 0.2556  5 P 2.82-2.93
Pm5 0.7609 0.7609 0.7407  5 P 2.79-2.91
Pm6 0.9328 0.5855 0.2556  5 P 2.82-2.93
P1 0.0000 0.0000 0.5000  6 Pm 2.79-2.93
P2 0.1667 0.8333 0.0000  6 Pm 2.89-2.91
P3 0.3348 0.6652 0.5000  6 Pm 2.82-2.93
P4 0.6652 0.3348 0.5000  6 Pm 2.82-2.93
P5 0.8333 0.1667 0.0000  6 Pm 2.89-2.91

---

VASP calculation (PBE) on Rb3AgSn3Se8 after structural relaxation.

Computed properties:
Symmetry: P4/nbm (125)
ΔE_f (raw): -0.6736 eV/atom

Unit cell a=8.6020 b=8.6020 c=13.7271 alpha=90.00 beta=90.00 gamma=90.00
Last column: nearest neighbours and their distance in Å.
Sites, in units of the cell vectors:
Rb1 0.2500 0.2500 0.0000  8 Se 3.71, 2 Rb 3.83
Rb2 0.2500 0.2500 0.2792  8 Se 3.50-3.73, 1 Rb 3.83
Rb3 0.2500 0.2500 0.7208  8 Se 3.50-3.73, 1 Rb 3.83
Rb4 0.7500 0.7500 0.0000  8 Se 3.71, 2 Rb 3.83
Rb5 0.7500 0.7500 0.2792  8 Se 3.50-3.73, 1 Rb 3.83
Rb6 0.7500 0.7500 0.7208  8 Se 3.50-3.73, 1 Rb 3.83
Ag1 0.2500 0.7500 0.0000  4 Se 2.83
Ag2 0.7500 0.2500 0.0000  4 Se 2.83
Sn1 0.2500 0.7500 0.2413  4 Se 2.52-2.67
Sn2 0.2500 0.7500 0.5000  4 Se 2.58
Sn3 0.2500 0.7500 0.7587  4 Se 2.52-2.67
Sn4 0.7500 0.2500 0.2413  4 Se 2.52-2.67
Sn5 0.7500 0.2500 0.5000  4 Se 2.58
Sn6 0.7500 0.2500 0.7587  4 Se 2.52-2.67
Se1 0.0786 0.5786 0.1389  1 Sn 2.52
Se2 0.0786 0.9214 0.8611  1 Sn 2.52
Se3 0.0913 0.5913 0.6246  2 Sn 2.58-2.67
Se4 0.0913 0.9087 0.3754  2 Sn 2.58-2.67
Se5 0.4087 0.5913 0.3754  2 Sn 2.58-2.67
Se6 0.4087 0.9087 0.6246  2 Sn 2.58-2.67
Se7 0.4214 0.5786 0.8611  1 Sn 2.52
Se8 0.4214 0.9214 0.1389  1 Sn 2.52
Se9 0.5786 0.0786 0.8611  1 Sn 2.52
Se10 0.5786 0.4214 0.1389  1 Sn 2.52
Se11 0.5913 0.0913 0.3754  2 Sn 2.58-2.67
Se12 0.5913 0.4087 0.6246  2 Sn 2.58-2.67
Se13 0.9087 0.0913 0.6246  2 Sn 2.58-2.67
Se14 0.9087 0.4087 0.3754  2 Sn 2.58-2.67
Se15 0.9214 0.0786 0.1389  1 Sn 2.52
Se16 0.9214 0.4214 0.8611  1 Sn 2.52

---

VASP calculation (PBE) on CeDyYS3 after structural relaxation.

Computed properties:
Symmetry: P2_1/m (11)
ΔE_f (raw): -1.9419 eV/atom

Unit cell a=6.8167 b=3.8637 c=10.3575 alpha=90.00 beta=102.63 gamma=90.00
Last column: nearest neighbours and their distance in Å.
Sites, in units of the cell vectors:
Ce1 0.1527 0.2500 0.1945  7 S 2.89-2.96
Ce2 0.8473 0.7500 0.8055  7 S 2.89-2.96
Dy1 0.2674 0.7500 0.5558  6 S 2.74-2.81
Dy2 0.7326 0.2500 0.4442  6 S 2.74-2.81
Y1 0.3726 0.2500 0.8676  5 S 2.71-2.77
Y2 0.6274 0.7500 0.1324  5 S 2.71-2.77
S1 0.0474 0.2500 0.6616  1 Y 2.72, 3 Dy 2.75-2.81, 2 Ce 2.95
S2 0.2257 0.7500 0.0031  3 Y 2.71-2.77, 3 Ce 2.89-2.92
S3 0.4461 0.7500 0.3432  1 Y 2.73, 3 Dy 2.74-2.78, 2 Ce 2.96
S4 0.5539 0.2500 0.6568  1 Y 2.73, 3 Dy 2.74-2.78, 2 Ce 2.96
S5 0.7743 0.2500 0.9969  3 Y 2.71-2.77, 3 Ce 2.89-2.92
S6 0.9526 0.7500 0.3384  1 Y 2.72, 3 Dy 2.75-2.81, 2 Ce 2.95

---

VASP calculation (PBE) on AcAgGe2Pd after structural relaxation.

Computed properties:
Symmetry: I-4m2 (119)
Calculated formation energy: -0.621 eV per atom

Unit cell a=6.1748 b=6.1748 c=6.1748 alpha=137.20 beta=137.20 gamma=62.13
Last column: nearest neighbours and their distance in Å.
Sites, in units of the cell vectors:
Ac1 0.0000 0.0000 0.0000  8 Ge 3.43, 4 Pd 3.47, 4 Ag 3.47
Ag1 0.2500 0.7500 0.5000  4 Ge 2.64
Ge1 0.3799 0.3799 0.0000  1 Ge 2.54, 2 Pd 2.64, 2 Ag 2.64
Ge2 0.6201 0.6201 0.0000  1 Ge 2.54, 2 Pd 2.64, 2 Ag 2.64
Pd1 0.7500 0.2500 0.5000  4 Ge 2.64

---

VASP calculation (PBE) on ZnFeTcMo after structural relaxation.

Computed properties:
Symmetry: F-43m (216)
Calculated formation energy: 0.121 eV per atom

Unit cell a=4.2715 b=4.2715 c=4.2715 alpha=60.00 beta=60.00 gamma=60.00
Last column: nearest neighbours and their distance in Å.
Sites, in units of the cell vectors:
Zn1 0.0000 0.0000 0.0000  4 Fe 2.62, 4 Tc 2.62
Fe1 0.7500 0.7500 0.7500  4 Zn 2.62, 4 Mo 2.62
Tc1 0.2500 0.2500 0.2500  4 Mo 2.62, 4 Zn 2.62
Mo1 0.5000 0.5000 0.5000  4 Fe 2.62, 4 Tc 2.62

---

VASP calculation (PBE) on Ac3ScTl4S8 after structural relaxation.

Computed properties:
Symmetry: R-3m (166)
ΔE_f (raw): -1.4253 eV/atom

Unit cell a=8.9544 b=8.9544 c=8.9544 alpha=57.14 beta=57.14 gamma=57.14
Last column: nearest neighbours and their distance in Å.
Sites, in units of the cell vectors:
Ac1 0.0000 0.5000 0.5000  6 S 2.95-2.99
Ac2 0.5000 0.0000 0.5000  6 S 2.95-2.99
Ac3 0.5000 0.5000 0.0000  6 S 2.95-2.99
Sc1 0.0000 0.0000 0.0000  6 S 2.71
Tl1 0.0000 0.0000 0.5000  6 S 3.26
Tl2 0.0000 0.5000 0.0000  6 S 3.26
Tl3 0.5000 0.0000 0.0000  6 S 3.26
Tl4 0.5000 0.5000 0.5000  6 S 3.49
S1 0.2192 0.2192 0.7621  1 Sc 2.71, 2 Ac 2.99
S2 0.2192 0.7621 0.2192  1 Sc 2.71, 2 Ac 2.99
S3 0.2379 0.7808 0.7808  1 Sc 2.71, 2 Ac 2.99
S4 0.2614 0.2614 0.2614  3 Ac 2.95, 3 Tl 3.26
S5 0.7386 0.7386 0.7386  3 Ac 2.95, 3 Tl 3.26
S6 0.7621 0.2192 0.2192  1 Sc 2.71, 2 Ac 2.99
S7 0.7808 0.2379 0.7808  1 Sc 2.71, 2 Ac 2.99
S8 0.7808 0.7808 0.2379  1 Sc 2.71, 2 Ac 2.99

---

VASP calculation (PBE) on Sc2InSb after structural relaxation.

Computed properties:
Distance to the lowest polymorph of the same formula: 170.5 meV per atom
Symmetry: Fm-3m (225)
ΔE_f (raw): -0.4303 eV/atom

Unit cell a=5.0922 b=5.0922 c=5.0922 alpha=60.00 beta=60.00 gamma=60.00
Last column: nearest neighbours and their distance in Å.
Sites, in units of the cell vectors:
Sc1 0.2500 0.2500 0.2500  4 In 3.12, 4 Sb 3.12
Sc2 0.7500 0.7500 0.7500  4 In 3.12, 4 Sb 3.12
In1 0.0000 0.0000 0.0000  8 Sc 3.12
Sb1 0.5000 0.5000 0.5000  8 Sc 3.12

---

VASP calculation (PBE) on Sc2MnSiC after structural relaxation.

Computed properties:
Symmetry: P4/mmm (123)
ΔE_f (raw): -0.4648 eV/atom

Unit cell a=4.4644 b=4.4644 c=3.7256 alpha=90.00 beta=90.00 gamma=90.00
Last column: nearest neighbours and their distance in Å.
Sites, in units of the cell vectors:
Sc1 0.0000 0.5000 0.0000  2 C 2.23
Sc2 0.5000 0.0000 0.0000  2 C 2.23
Mn1 0.0000 0.0000 0.5000  2 C 1.86
Si1 0.5000 0.5000 0.5000  8 Sc 2.91, 4 Mn 3.16
C1 0.0000 0.0000 0.0000  2 Mn 1.86

---

VASP calculation (PBE) on PrInPb after structural relaxation.

Computed properties:
Distance to the lowest polymorph of the same formula: 50.5 meV per atom
Symmetry: Cmcm (63)
Calculated formation energy: -0.343 eV per atom

Unit cell a=5.3846 b=5.3846 c=6.6880 alpha=90.00 beta=90.00 gamma=111.34
Last column: nearest neighbours and their distance in Å.
Sites, in units of the cell vectors:
Pr1 0.1723 0.8277 0.7500  5 In 3.18-3.35, 2 Pb 3.36
Pr2 0.8277 0.1723 0.2500  5 In 3.18-3.35, 2 Pb 3.36
In1 0.1854 0.8146 0.2500  5 Pr 3.18-3.35, 2 Pb 3.26
In2 0.8146 0.1854 0.7500  5 Pr 3.18-3.35, 2 Pb 3.26
Pb1 0.5000 0.5000 0.0000  2 In 3.26, 2 Pb 3.34, 2 Pr 3.36
Pb2 0.5000 0.5000 0.5000  2 In 3.26, 2 Pb 3.34, 2 Pr 3.36